This record from Alexandria describes a relaxed InAsSe2 crystal. The functional is PBE.

Properties
Calculated total energy: -3.64 eV/atom

a b c (Å): 7.3660 7.3660 6.4975
angles (deg): 55.47 55.47 90.00
Sites, in units of the cell vectors:
As 0.2500 0.7500 0.5000
As 0.5000 0.5000 0.0000
In 0.7500 0.2500 0.5000
In 0.0000 0.0000 0.0000
Se 0.5997 0.1250 0.2500
Se 0.8750 0.8497 0.7500
Se 0.3750 0.4003 0.7500
Se 0.1503 0.6250 0.2500

This record from Alexandria describes a relaxed Mn3Ni20P6 crystal. The functional is PBE.

Properties
Calculated total energy: -6.44 eV/atom

a b c (Å): 7.8166 7.8166 7.8166
angles (deg): 60.00 60.00 60.00
Sites, in units of the cell vectors:
Ni 0.3481 0.0000 0.0000
Ni 0.0000 0.0000 0.6519
Ni 0.6519 0.3481 0.0000
Ni 0.6178 0.6178 0.6178
Ni 0.6178 0.1466 0.6178
Ni 0.0000 0.6519 0.0000
Ni 0.6519 0.0000 0.0000
Ni 0.1466 0.6178 0.6178
Ni 0.6519 0.0000 0.3481
Ni 0.0000 0.3481 0.6519
Ni 0.3822 0.8534 0.3822
Ni 0.3481 0.0000 0.6519
Ni 0.0000 0.3481 0.0000
Ni 0.6178 0.6178 0.1466
Ni 0.8534 0.3822 0.3822
Ni 0.3822 0.3822 0.3822
Ni 0.0000 0.0000 0.3481
Ni 0.3822 0.3822 0.8534
Ni 0.0000 0.6519 0.3481
Ni 0.3481 0.6519 0.0000
Mn 0.7500 0.7500 0.7500
Mn 0.0000 0.0000 0.0000
Mn 0.2500 0.2500 0.2500
P 0.7353 0.7353 0.2647
P 0.2647 0.7353 0.7353
P 0.7353 0.2647 0.7353
P 0.7353 0.2647 0.2647
P 0.2647 0.7353 0.2647
P 0.2647 0.2647 0.7353

This record from Alexandria describes a relaxed MoPRh2 crystal. The functional is PBE.

Properties
Calculated total energy: -7.91 eV/atom

a b c (Å): 2.8263 3.8315 5.2428
angles (deg): 90.00 90.00 90.00
Sites, in units of the cell vectors:
Mo 0.5000 0.5000 0.0000
P 0.5000 0.5000 0.5000
Rh 0.0000 0.0000 0.2508
Rh 0.0000 0.0000 0.7492